A plane-wave DFT calculation with GGA-PBE was carried out for Sm2Co7 after structural relaxation.

a = 4.9840 Å, b = 4.9840 Å, c = 24.1453 Å
α = 90.00°, β = 90.00°, γ = 120.00°
Closest atoms and distances in Å follow each position.
Fractional coordinates of all 36 atoms:
Sm: 0.3333 0.6667 0.0276  12 Co 2.88-3.13, 3 Sm 3.17
Sm: 0.3333 0.6667 0.1727  12 Co 2.88-3.11
Sm: 0.3333 0.6667 0.3273  12 Co 2.88-3.11
Sm: 0.3333 0.6667 0.4724  12 Co 2.88-3.13, 3 Sm 3.17
Sm: 0.6667 0.3333 0.5276  12 Co 2.88-3.13, 3 Sm 3.17
Sm: 0.6667 0.3333 0.6727  12 Co 2.88-3.11
Sm: 0.6667 0.3333 0.8273  12 Co 2.88-3.11
Sm: 0.6667 0.3333 0.9724  12 Co 2.88-3.13, 3 Sm 3.17
Co: 0.0000 0.0000 0.0000  6 Co 2.55
Co: 0.0000 0.0000 0.1680  6 Co 2.41-2.44
Co: 0.0000 0.0000 0.3320  6 Co 2.41-2.44
Co: 0.0000 0.0000 0.5000  6 Co 2.55
Co: 0.0000 0.0000 0.6680  6 Co 2.41-2.44
Co: 0.0000 0.0000 0.8320  6 Co 2.41-2.44
Co: 0.1659 0.3318 0.5875  7 Co 2.41-2.55
Co: 0.1658 0.3317 0.7500  8 Co 2.44-2.50
Co: 0.1659 0.3318 0.9125  7 Co 2.41-2.55
Co: 0.1659 0.8341 0.5875  7 Co 2.41-2.55
Co: 0.1658 0.8342 0.7500  8 Co 2.44-2.50
Co: 0.1659 0.8341 0.9125  7 Co 2.41-2.55
Co: 0.3318 0.1659 0.0875  7 Co 2.41-2.55
Co: 0.3317 0.1658 0.2500  8 Co 2.44-2.50
Co: 0.3318 0.1659 0.4125  7 Co 2.41-2.55
Co: 0.3333 0.6667 0.6685  6 Co 2.43-2.44
Co: 0.3333 0.6667 0.8315  6 Co 2.43-2.44
Co: 0.6667 0.3333 0.1685  6 Co 2.43-2.44
Co: 0.6667 0.3333 0.3315  6 Co 2.43-2.44
Co: 0.6682 0.8341 0.5875  7 Co 2.41-2.55
Co: 0.6683 0.8342 0.7500  8 Co 2.44-2.50
Co: 0.6682 0.8341 0.9125  7 Co 2.41-2.55
Co: 0.8341 0.1659 0.0875  7 Co 2.41-2.55
Co: 0.8342 0.1658 0.2500  8 Co 2.44-2.50
Co: 0.8341 0.1659 0.4125  7 Co 2.41-2.55
Co: 0.8341 0.6682 0.0875  7 Co 2.41-2.55
Co: 0.8342 0.6683 0.2500  8 Co 2.44-2.50
Co: 0.8341 0.6682 0.4125  7 Co 2.41-2.55

Computed properties:
The symmetry is P6_3/mmc. The calculated formation energy is -0.084 eV/atom. For the raw total energy, the calculation gives -239.68 eV for the cell shown. Its volume is 519.4 Å³ per cell.

---

A plane-wave DFT calculation with GGA-PBE was carried out for Sm3Co after structural relaxation.

a = 4.6750 Å, b = 4.6750 Å, c = 4.6750 Å
α = 90.00°, β = 90.00°, γ = 90.00°
Closest atoms and distances in Å follow each position.
Fractional coordinates of all 4 atoms:
Sm: 0.0000 0.0000 0.5000  4 Co 3.31, 8 Sm 3.31
Sm: 0.0000 0.5000 0.0000  4 Co 3.31, 8 Sm 3.31
Sm: 0.5000 0.0000 0.0000  4 Co 3.31, 8 Sm 3.31
Co: 0.5000 0.5000 0.5000  12 Sm 3.31

Computed properties:
The symmetry is Pm-3m. The calculated formation energy is 0.327 eV/atom. For the raw total energy, the calculation gives -19.93 eV for the cell shown. Its volume is 102.2 Å³ per cell.

---

A plane-wave DFT calculation with GGA-PBE was carried out for Sm2Co7 after structural relaxation.

a = 12.3331 Å, b = 12.3331 Å, c = 12.3331 Å
α = 23.47°, β = 23.47°, γ = 23.47°
Closest atoms and distances in Å follow each position.
Fractional coordinates of all 18 atoms:
Sm: 0.0516 0.0516 0.0516  12 Co 2.90-3.12
Sm: 0.1481 0.1481 0.1481  12 Co 2.87-3.09, 3 Sm 3.19
Sm: 0.8519 0.8519 0.8519  12 Co 2.87-3.09, 3 Sm 3.19
Sm: 0.9484 0.9484 0.9484  12 Co 2.90-3.12
Co: 0.0000 0.5000 0.5000  8 Co 2.47-2.51
Co: 0.1087 0.6095 0.6095  7 Co 2.41-2.52
Co: 0.2776 0.2776 0.2776  6 Co 2.41-2.47
Co: 0.3891 0.3891 0.3891  6 Co 2.41-2.47
Co: 0.3905 0.3905 0.8913  7 Co 2.41-2.52
Co: 0.3905 0.8913 0.3905  7 Co 2.41-2.52
Co: 0.5000 0.0000 0.5000  8 Co 2.47-2.51
Co: 0.5000 0.5000 0.0000  8 Co 2.47-2.51
Co: 0.5000 0.5000 0.5000  6 Co 2.52
Co: 0.6095 0.1087 0.6095  7 Co 2.41-2.52
Co: 0.6095 0.6095 0.1087  7 Co 2.41-2.52
Co: 0.6109 0.6109 0.6109  6 Co 2.41-2.47
Co: 0.7224 0.7224 0.7224  6 Co 2.41-2.47
Co: 0.8913 0.3905 0.3905  7 Co 2.41-2.52

Computed properties:
The symmetry is R-3m. The calculated formation energy is -0.082 eV/atom. For the raw total energy, the calculation gives -119.81 eV for the cell shown. Its volume is 261.3 Å³ per cell.

---

A plane-wave DFT calculation with GGA-PBE was carried out for Sm2Co after structural relaxation.

a = 6.0120 Å, b = 6.0120 Å, c = 6.0120 Å
α = 60.00°, β = 60.00°, γ = 60.00°
Closest atoms and distances in Å follow each position.
Fractional coordinates of all 6 atoms:
Sm: 0.0000 0.0000 0.0000  6 Sm 3.01
Sm: 0.0000 0.0000 0.5000  6 Sm 3.01
Sm: 0.0000 0.5000 0.0000  6 Sm 3.01
Sm: 0.5000 0.0000 0.0000  6 Sm 3.01
Co: 0.3750 0.3750 0.3750  12 Sm 3.52, 4 Co 3.68
Co: 0.6250 0.6250 0.6250  12 Sm 3.52, 4 Co 3.68

Computed properties:
The symmetry is Fd-3m. The calculated formation energy is 1.189 eV/atom. For the raw total energy, the calculation gives -25.92 eV for the cell shown. Its volume is 153.7 Å³ per cell.